# TbSmSn

A geometry-optimized TbSmSn structure (PBE, Alexandria via LeMat-Bulk).

a b c (Å): 5.139 5.139 3.920
angles (deg): 90.00 90.00 120.00
Positions (direct):
1 Tb 0.000 0.000 0.000
2 Sm 0.667 0.333 0.442
3 Sn 0.333 0.667 0.756

* offset from the most stable computed form: 0.73 eV per formula unit
* formation enthalpy at 0 K: -1.09 eV per formula unit